# 1
The following is a DFT calculation (PBE-GGA) of an optimized crystal structure of LiPuBi2.

Results
- Energy relative to the lowest polymorph listed for this composition: 8.1 meV per atom
- Final energy: -25.490 eV for the cell shown
- ΔE_f: -143 kJ/mol of formula units

a = 4.9828 Å, b = 4.9828 Å, c = 4.3432 Å
α = 90.00°, β = 90.00°, γ = 90.00°
Last column: nearest neighbours and their distance in Å.
Space group P4/mmm (No. 123)
Asymmetric unit:
Li1 0.0000 0.0000 0.0000 [1 per cell]  8 Bi 3.30, 4 Pu 3.52
Pu1 0.5000 0.5000 0.0000 [1 per cell]  8 Bi 3.30, 4 Li 3.52
Bi1 0.0000 0.5000 0.5000 [2 per cell]  4 Li 3.30, 4 Pu 3.30, 4 Bi 3.52

---

# 2
The following is a DFT calculation (PBE-GGA) of an optimized crystal structure of Li2PuBi3.

Results
- Final energy: -31.941 eV for the cell shown
- ΔE_f: -206 kJ/mol of formula units

a = 3.3911 Å, b = 3.3911 Å, c = 13.6174 Å
α = 90.00°, β = 90.00°, γ = 90.00°
Last column: nearest neighbours and their distance in Å.
Space group P4/mmm (No. 123)
Asymmetric unit:
Li1 0.0000 0.0000 0.1561 [2 per cell]  8 Bi 3.20-3.26, 4 Li 3.39
Pu1 0.0000 0.0000 0.5000 [1 per cell]  4 Pu 3.39, 8 Bi 3.44
Bi1 0.5000 0.5000 0.0000 [1 per cell]  8 Li 3.20, 4 Bi 3.39
Bi2 0.5000 0.5000 0.3188 [2 per cell]  4 Li 3.26, 4 Bi 3.39, 4 Pu 3.44

---

# 3
The following is a DFT calculation (PBE-GGA) of an optimized crystal structure of LiPuBiRh.

Results
- Final energy: -116.080 eV for the cell shown
- ΔE_f: -149 kJ/mol of formula units

a = 6.8369 Å, b = 6.8369 Å, c = 6.8369 Å
α = 90.00°, β = 90.00°, γ = 90.00°
Last column: nearest neighbours and their distance in Å.
Space group F-43m (No. 216)
Asymmetric unit:
Li1 0.0000 0.0000 0.0000 [4 per cell]  4 Pu 2.96, 4 Bi 2.96
Pu1 0.2500 0.2500 0.2500 [4 per cell]  4 Rh 2.96, 4 Li 2.96
Bi1 0.2500 0.2500 0.7500 [4 per cell]  4 Li 2.96, 4 Rh 2.96
Rh1 0.0000 0.0000 0.5000 [4 per cell]  4 Bi 2.96, 4 Pu 2.96

---

# 4
The following is a DFT calculation (PBE-GGA) of an optimized crystal structure of LiPuBiRu.

Results
- Final energy: -119.611 eV for the cell shown
- ΔE_f: -48 kJ/mol of formula units

a = 6.8044 Å, b = 6.8044 Å, c = 6.8044 Å
α = 90.00°, β = 90.00°, γ = 90.00°
Last column: nearest neighbours and their distance in Å.
Space group F-43m (No. 216)
Asymmetric unit:
Li1 0.0000 0.0000 0.0000 [4 per cell]  4 Bi 2.95, 4 Pu 2.95
Pu1 0.2500 0.2500 0.7500 [4 per cell]  4 Li 2.95, 4 Ru 2.95
Bi1 0.2500 0.2500 0.2500 [4 per cell]  4 Li 2.95, 4 Ru 2.95
Ru1 0.0000 0.0000 0.5000 [4 per cell]  4 Pu 2.95, 4 Bi 2.95

---

# 5
The following is a DFT calculation (PBE-GGA) of an optimized crystal structure of Li2PuBiSe4.

Results
- Formation energy (no corrections): -8.36 eV/f.u.
- Final energy: -44.339 eV for the cell shown

a = 6.9761 Å, b = 4.1485 Å, c = 7.1789 Å
α = 90.00°, β = 110.50°, γ = 90.00°
Last column: nearest neighbours and their distance in Å.
Space group P2/m (No. 10)
Asymmetric unit:
Li1 0.0000 0.0000 0.0000 [1 per cell]  6 Se 2.88
Li2 0.0000 0.5000 0.5000 [1 per cell]  6 Se 2.83-2.86
Pu1 0.5000 0.0000 0.5000 [1 per cell]  6 Se 2.91-2.94
Bi1 0.5000 0.5000 0.0000 [1 per cell]  6 Se 2.96
Se1 0.2360 0.0000 0.7415 [2 per cell]  3 Li 2.83-2.88, 1 Pu 2.94, 2 Bi 2.96
Se2 0.2435 0.5000 0.2518 [2 per cell]  3 Li 2.86-2.88, 2 Pu 2.91, 1 Bi 2.96

---

# 6
The following is a DFT calculation (PBE-GGA) of an optimized crystal structure of Sr2Li3PuBi4.

Results
- Final energy: -44.591 eV for the cell shown
- ΔE_f: -543 kJ/mol of formula units

a = 4.9565 Å, b = 4.9565 Å, c = 12.2764 Å
α = 90.00°, β = 90.00°, γ = 90.00°
Last column: nearest neighbours and their distance in Å.
Space group P-4m2 (No. 115)
Asymmetric unit:
Sr1 0.0000 0.5000 0.2212 [2 per cell]  8 Bi 3.68-3.82, 4 Li 3.72
Li1 0.0000 0.5000 0.8796 [2 per cell]  5 Bi 2.75-2.89
Li2 0.5000 0.5000 0.5000 [1 per cell]  4 Bi 3.13, 4 Pu 3.50
Pu1 0.0000 0.0000 0.5000 [1 per cell]  4 Bi 3.13, 4 Li 3.50
Bi1 0.0000 0.0000 0.0000 [1 per cell]  4 Li 2.89
Bi2 0.0000 0.5000 0.6558 [2 per cell]  1 Li 2.75
Bi3 0.5000 0.5000 0.0000 [1 per cell]  4 Li 2.89

---

# 7
The following is a DFT calculation (PBE-GGA) of an optimized crystal structure of LiPuZnBi.

Results
- Final energy: -89.185 eV for the cell shown
- ΔE_f: -86 kJ/mol of formula units

a = 7.2986 Å, b = 7.2986 Å, c = 7.2986 Å
α = 90.00°, β = 90.00°, γ = 90.00°
Last column: nearest neighbours and their distance in Å.
Space group F-43m (No. 216)
Asymmetric unit:
Li1 0.0000 0.0000 0.0000 [4 per cell]  4 Bi 3.16, 4 Zn 3.16
Pu1 0.0000 0.0000 0.5000 [4 per cell]  4 Bi 3.16, 4 Zn 3.16
Zn1 0.2500 0.2500 0.2500 [4 per cell]  4 Pu 3.16, 4 Li 3.16
Bi1 0.2500 0.2500 0.7500 [4 per cell]  4 Li 3.16, 4 Pu 3.16

---

# 8
The following is a DFT calculation (PBE-GGA) of an optimized crystal structure of Rb5LiBi2.

Results
- Final energy: -34.731 eV for the cell shown
- ΔE_f: -275 kJ/mol of formula units

a = 6.4935 Å, b = 6.4935 Å, c = 21.7381 Å
α = 90.00°, β = 90.00°, γ = 120.00°
Last column: nearest neighbours and their distance in Å.
Space group P6_3/mmc (No. 194)
Asymmetric unit:
Rb1 0.0000 0.0000 0.1390 [4 per cell]  3 Bi 3.76, 3 Rb 4.21
Rb2 0.3333 0.6667 0.0507 [4 per cell]  4 Bi 3.81-4.08, 3 Rb 4.21
Rb3 0.3333 0.6667 0.2500 [2 per cell]  3 Li 3.75
Li1 0.3333 0.6667 0.7500 [2 per cell]  2 Bi 2.72
Bi1 0.3333 0.6667 0.6247 [4 per cell]  1 Li 2.72

---

# 9
The following is a DFT calculation (PBE-GGA) of an optimized crystal structure of Rb2LiBi2.

Results
- Energy relative to the lowest polymorph listed for this composition: 0.0 meV per atom
- Final energy: -52.992 eV for the cell shown
- ΔE_f: -158 kJ/mol of formula units

a = 11.7795 Å, b = 7.2672 Å, c = 9.9124 Å
α = 90.00°, β = 98.31°, γ = 90.00°
Last column: nearest neighbours and their distance in Å.
Space group C2/c (No. 15)
Asymmetric unit:
Rb1 0.1592 0.1127 0.1680 [8 per cell]  2 Li 3.83-4.01, 6 Bi 3.85-4.02
Li1 0.0000 0.4517 0.7500 [4 per cell]  4 Bi 2.91-2.97
Bi1 0.1090 0.3791 0.5099 [8 per cell]  2 Li 2.91-2.97, 1 Bi 3.09

---

# 10
The following is a DFT calculation (PBE-GGA) of an optimized crystal structure of Rb2Li3Bi2.

Results
- Final energy: -36.169 eV for the cell shown
- ΔE_f: -255 kJ/mol of formula units

a = 13.9367 Å, b = 4.9242 Å, c = 8.1591 Å
α = 90.00°, β = 118.15°, γ = 90.00°
Last column: nearest neighbours and their distance in Å.
Space group C2/m (No. 12)
Asymmetric unit:
Rb1 0.1439 0.0000 0.2644 [4 per cell]  1 Li 3.49, 2 Bi 3.79-3.90
Li1 0.0000 0.5000 0.5000 [2 per cell]  2 Li 3.07, 4 Bi 3.08
Li2 0.1717 0.5000 0.9120 [4 per cell]  3 Bi 2.80-2.97, 1 Li 3.07
Bi1 0.1253 0.0000 0.7262 [4 per cell]  5 Li 2.80-3.08